First-principles (GGA-PBE) data for RbSiAg2O4 after structural relaxation, as listed in Alexandria via LeMat-Bulk.

The structure belongs to space group I222 (No. 23); the cell edges are 5.735, 5.936 and 7.170 Å and the angles 90.00°, 90.00° and 90.00°. The inequivalent atoms are Rb at (0.000, 0.000, 0.000), Si at (0.000, 0.000, 0.500), Ag at (0.000, 0.500, 0.206) and O at (0.166, 0.164, 0.633).

The value obtained for the size of the total moment is 0.000 μB/cell. Its raw total energy is -5.3588 eV/atom. As for the calculated volume: 15.25 A^3/atom. The value obtained for the uncorrected formation energy is -1368.1 meV/atom.